Entry 1:
The following is a DFT calculation (PBE) of crystalline Sc2CdSe at its relaxed geometry.

Geometry as CIF:
```
data_Sc2CdSe
_symmetry_space_group_name_H-M 'C 1 2/m 1'
_symmetry_Int_Tables_number 12
_cell_length_a 6.378
_cell_length_b 7.773
_cell_length_c 3.397
_cell_angle_alpha 90.00
_cell_angle_beta 90.12
_cell_angle_gamma 90.00
loop_
_symmetry_equiv_pos_as_xyz
'x,y,z'
'-x,-y,-z'
'-x,y,-z'
'x,-y,z'
'x+1/2,y+1/2,z'
'-x+1/2,-y+1/2,-z'
'-x+1/2,y+1/2,-z'
'x+1/2,-y+1/2,z'
loop_
_atom_site_label
_atom_site_type_symbol
_atom_site_fract_x
_atom_site_fract_y
_atom_site_fract_z
Sc1 Sc 0.250 0.250 0.000
Cd1 Cd 0.000 0.000 0.500
Se1 Se 0.000 0.500 0.500
```

Results
- Formation energy (no corrections): -0.614 eV per atom
- ΔE to the lowest computed polymorph: 261 meV/atom

***

Entry 2:
The following is a DFT calculation (PBE) of crystalline PmPuAsP at its relaxed geometry.

Geometry as CIF:
```
data_PmPuAsP
_symmetry_space_group_name_H-M 'P 4/m m m'
_symmetry_Int_Tables_number 123
_symmetry_space_group_name_Hall '-P 4 2'
_cell_length_a 4.126
_cell_length_b 4.126
_cell_length_c 5.838
_cell_angle_alpha 90.00
_cell_angle_beta 90.00
_cell_angle_gamma 90.00
loop_
_atom_site_label
_atom_site_type_symbol
_atom_site_fract_x
_atom_site_fract_y
_atom_site_fract_z
Pm1 Pm 0.000 0.000 0.000
Pu1 Pu 0.500 0.500 0.500
As1 As 0.500 0.500 0.000
P1 P 0.000 0.000 0.500
```

Results
- Energy of formation: -1.282 eV per atom

***

Entry 3:
The following is a DFT calculation (PBE) of crystalline DyPS4 at its relaxed geometry.

Geometry as CIF:
```
data_DyPS4
_symmetry_space_group_name_H-M 'I 41/a c d'
_symmetry_Int_Tables_number 142
_cell_length_a 10.805
_cell_length_b 10.805
_cell_length_c 19.075
_cell_angle_alpha 90.00
_cell_angle_beta 90.00
_cell_angle_gamma 90.00
loop_
_symmetry_equiv_pos_as_xyz
'x,y,z'
'-x,-y,-z'
'-y+1/4,x+3/4,z+1/4'
'y+1/4,-x+3/4,-z+1/4'
'-x+1/2,-y,z+1/2'
'x+1/2,y,-z+1/2'
'y+1/4,-x+1/4,z+3/4'
'-y+1/4,x+1/4,-z+3/4'
'x,-y,-z+1/2'
'-x,y,z+1/2'
'-y+1/4,-x+1/4,-z+1/4'
'y+1/4,x+1/4,z+1/4'
'-x+1/2,y,-z'
'x+1/2,-y,z'
'y+1/4,x+3/4,-z+3/4'
'-y+1/4,-x+3/4,z+3/4'
'x+1/2,y+1/2,z+1/2'
'-x+1/2,-y+1/2,-z+1/2'
'-y+3/4,x+1/4,z+3/4'
'y+3/4,-x+1/4,-z+3/4'
'-x,-y+1/2,z'
'x,y+1/2,-z'
'y+3/4,-x+3/4,z+1/4'
'-y+3/4,x+3/4,-z+1/4'
'x+1/2,-y+1/2,-z'
'-x+1/2,y+1/2,z'
'-y+3/4,-x+3/4,-z+3/4'
'y+3/4,x+3/4,z+3/4'
'-x,y+1/2,-z+1/2'
'x,-y+1/2,z+1/2'
'y+3/4,x+1/4,-z+1/4'
'-y+3/4,-x+1/4,z+1/4'
loop_
_atom_site_label
_atom_site_type_symbol
_atom_site_fract_x
_atom_site_fract_y
_atom_site_fract_z
Dy1 Dy 0.000 0.250 0.125
Dy2 Dy 0.000 0.250 0.375
P1 P 0.038 0.000 0.250
S1 S 0.064 0.004 0.840
S2 S 0.087 0.114 0.003
```

Results
- Formation energy (no corrections): -1.033 eV per atom

***

Entry 4:
The following is a DFT calculation (PBE) of crystalline Li2GeI at its relaxed geometry.

Geometry as CIF:
```
data_Li2GeI
_symmetry_space_group_name_H-M 'F m -3 m'
_symmetry_Int_Tables_number 225
_symmetry_space_group_name_Hall '-F 4 2 3'
_cell_length_a 7.031
_cell_length_b 7.031
_cell_length_c 7.031
_cell_angle_alpha 90.00
_cell_angle_beta 90.00
_cell_angle_gamma 90.00
loop_
_atom_site_label
_atom_site_type_symbol
_atom_site_fract_x
_atom_site_fract_y
_atom_site_fract_z
Li1 Li 0.250 0.250 0.250
Ge1 Ge 0.000 0.000 0.000
I1 I 0.000 0.000 0.500
```

Results
- Formation energy (no corrections): -0.102 eV per atom
- ΔE to the lowest computed polymorph: 131 meV/atom

***

Entry 5:
The following is a DFT calculation (PBE) of crystalline Zn12GaAg6 at its relaxed geometry.

Geometry as CIF:
```
data_Zn12GaAg6
_symmetry_space_group_name_H-M 'R -3'
_symmetry_Int_Tables_number 148
_symmetry_space_group_name_Hall '-R 3'
_cell_length_a 10.8138
_cell_length_b 10.8138
_cell_length_c 9.1350
_cell_angle_alpha 90.00
_cell_angle_beta 90.00
_cell_angle_gamma 120.00
loop_
_atom_site_label
_atom_site_type_symbol
_atom_site_fract_x
_atom_site_fract_y
_atom_site_fract_z
Zn1 Zn 0.0007 0.2615 0.0006
Zn2 Zn 0.0697 0.5336 0.1191
Ga1 Ga 0.0000 0.0000 0.0000
Ag1 Ag 0.0879 0.1780 0.7484
```

Results
- ΔE to the lowest computed polymorph: 0 meV/atom
- Energy of formation: 0.009 eV per atom

***

Entry 6:
The following is a DFT calculation (PBE) of crystalline K2SmIrO6 at its relaxed geometry.

Geometry as CIF:
```
data_K2SmIrO6
_symmetry_space_group_name_H-M 'F m -3 m'
_symmetry_Int_Tables_number 225
_symmetry_space_group_name_Hall '-F 4 2 3'
_cell_length_a 8.441
_cell_length_b 8.441
_cell_length_c 8.441
_cell_angle_alpha 90.00
_cell_angle_beta 90.00
_cell_angle_gamma 90.00
loop_
_atom_site_label
_atom_site_type_symbol
_atom_site_fract_x
_atom_site_fract_y
_atom_site_fract_z
K1 K 0.250 0.250 0.250
Sm1 Sm 0.000 0.000 0.000
Ir1 Ir 0.000 0.000 0.500
O1 O 0.000 0.000 0.273
```

Results
- Formation energy (no corrections): -1.677 eV per atom

***

Entry 7:
The following is a DFT calculation (PBE) of crystalline YTmPaO6 at its relaxed geometry.

Geometry as CIF:
```
data_YTmPaO6
_symmetry_space_group_name_H-M 'P 3 1 2'
_symmetry_Int_Tables_number 149
_cell_length_a 5.7465
_cell_length_b 5.7465
_cell_length_c 4.6769
_cell_angle_alpha 90.00
_cell_angle_beta 90.00
_cell_angle_gamma 120.00
loop_
_symmetry_equiv_pos_as_xyz
'x,y,z'
'-y,x-y,z'
'-x+y,-x,z'
'-y,-x,-z'
'-x+y,y,-z'
'x,x-y,-z'
loop_
_atom_site_label
_atom_site_type_symbol
_atom_site_fract_x
_atom_site_fract_y
_atom_site_fract_z
Y1 Y 0.0000 0.0000 0.0000
Tm1 Tm 0.3333 0.6667 0.0000
Pa1 Pa 0.6667 0.3333 0.5000
O1 O 0.3487 0.0098 0.2442
```

Results
- Formation energy (no corrections): -3.239 eV per atom

***

Entry 8:
The following is a DFT calculation (PBE) of crystalline Sc2TlTe at its relaxed geometry.

Geometry as CIF:
```
data_Sc2TlTe
_symmetry_space_group_name_H-M 'I m m m'
_symmetry_Int_Tables_number 71
_symmetry_space_group_name_Hall '-I 2 2'
_cell_length_a 4.129
_cell_length_b 5.637
_cell_length_c 8.431
_cell_angle_alpha 90.00
_cell_angle_beta 90.00
_cell_angle_gamma 90.00
loop_
_atom_site_label
_atom_site_type_symbol
_atom_site_fract_x
_atom_site_fract_y
_atom_site_fract_z
Sc1 Sc 0.000 0.000 0.243
Tl1 Tl 0.000 0.500 0.000
Te1 Te 0.000 0.500 0.500
```

Results
- Formation energy (no corrections): -0.480 eV per atom
- ΔE to the lowest computed polymorph: 168 meV/atom